[1]
The following is a PBE-GGA calculation of crystalline Tb7Dy2Tm2 at its relaxed geometry, from the Alexandria database.

Values from the calculation:
The uncorrected energy comes out at -4.2326 eV per atom. The calculation puts the total magnetization at 0.00 μB per formula unit.

The structure in CIF format:
```
data_Tb7Dy2Tm2
_chemical_formula_sum 'Tb7 Dy2 Tm2'
_space_group_name_H-M_alt 'P 1'
_space_group_IT_number 1
_cell_length_a 6.782
_cell_length_b 6.782
_cell_length_c 9.463
_cell_angle_alpha 90.00
_cell_angle_beta 90.00
_cell_angle_gamma 122.46
loop_
_space_group_symop_operation_xyz
'x,y,z'
loop_
_atom_site_label
_atom_site_fract_x
_atom_site_fract_y
_atom_site_fract_z
Tb1 0.000 0.000 0.000
Tb2 0.000 0.500 0.314
Tb3 0.000 0.500 0.686
Tb4 0.500 0.000 0.314
Tb5 0.500 0.000 0.686
Tb6 0.500 0.500 0.185
Tb7 0.500 0.500 0.815
Dy1 0.250 0.250 0.500
Dy2 0.750 0.750 0.500
Tm1 0.273 0.727 0.000
Tm2 0.727 0.273 0.000
```

***

[2]
The following is a PBE-GGA calculation of crystalline Tb4Dy5Tm2 at its relaxed geometry, from the Alexandria database.

Values from the calculation:
The uncorrected energy comes out at -4.4598 eV per atom. The calculation puts the total magnetization at 0.00 μB per formula unit.

The structure in CIF format:
```
data_Tb4Dy5Tm2
_chemical_formula_sum 'Tb4 Dy5 Tm2'
_space_group_name_H-M_alt 'P 1'
_space_group_IT_number 1
_cell_length_a 6.577
_cell_length_b 6.577
_cell_length_c 9.082
_cell_angle_alpha 103.60
_cell_angle_beta 103.60
_cell_angle_gamma 67.59
loop_
_space_group_symop_operation_xyz
'x,y,z'
loop_
_atom_site_label
_atom_site_fract_x
_atom_site_fract_y
_atom_site_fract_z
Tb1 0.169 0.169 0.120
Tb2 0.187 0.187 0.499
Tb3 0.813 0.813 0.501
Tb4 0.831 0.831 0.880
Dy1 0.151 0.709 0.223
Dy2 0.291 0.849 0.777
Dy3 0.500 0.500 0.500
Dy4 0.709 0.151 0.223
Dy5 0.849 0.291 0.777
Tm1 0.356 0.356 0.879
Tm2 0.644 0.644 0.121
```

***

[3]
The following is a PBE-GGA calculation of crystalline Tb9Dy11Tm4 at its relaxed geometry, from the Alexandria database.

Values from the calculation:
The uncorrected energy comes out at -4.5413 eV per atom. The calculation puts the total magnetization at 0.00 μB per formula unit.

The structure in CIF format:
```
data_Tb9Dy11Tm4
_chemical_formula_sum 'Tb9 Dy11 Tm4'
_space_group_name_H-M_alt 'P 1'
_space_group_IT_number 1
_cell_length_a 15.054
_cell_length_b 15.054
_cell_length_c 3.634
_cell_angle_alpha 90.00
_cell_angle_beta 90.00
_cell_angle_gamma 113.05
loop_
_space_group_symop_operation_xyz
'x,y,z'
loop_
_atom_site_label
_atom_site_fract_x
_atom_site_fract_y
_atom_site_fract_z
Tb1 0.000 0.000 0.000
Tb2 0.131 0.664 0.000
Tb3 0.286 0.431 0.000
Tb4 0.336 0.869 0.000
Tb5 0.431 0.286 0.000
Tb6 0.569 0.714 0.000
Tb7 0.664 0.131 0.000
Tb8 0.714 0.569 0.000
Tb9 0.869 0.336 0.000
Dy1 0.093 0.455 0.500
Dy2 0.132 0.868 0.500
Dy3 0.207 0.207 0.500
Dy4 0.340 0.660 0.500
Dy5 0.455 0.093 0.500
Dy6 0.500 0.500 0.500
Dy7 0.545 0.907 0.500
Dy8 0.660 0.340 0.500
Dy9 0.793 0.793 0.500
Dy10 0.868 0.132 0.500
Dy11 0.907 0.545 0.500
Tm1 0.054 0.257 0.000
Tm2 0.257 0.054 0.000
Tm3 0.743 0.946 0.000
Tm4 0.946 0.743 0.000
```

***

[4]
The following is a PBE-GGA calculation of crystalline Tb16Dy6Tm7 at its relaxed geometry, from the Alexandria database.

Values from the calculation:
The uncorrected energy comes out at -4.3565 eV per atom. The calculation puts the total magnetization at 0.00 μB per formula unit.

The structure in CIF format:
```
data_Tb16Dy6Tm7
_chemical_formula_sum 'Tb16 Dy6 Tm7'
_space_group_name_H-M_alt 'P 1'
_space_group_IT_number 1
_cell_length_a 11.047
_cell_length_b 11.047
_cell_length_c 11.047
_cell_angle_alpha 60.00
_cell_angle_beta 60.00
_cell_angle_gamma 60.00
loop_
_space_group_symop_operation_xyz
'x,y,z'
loop_
_atom_site_label
_atom_site_fract_x
_atom_site_fract_y
_atom_site_fract_z
Tb1 0.045 0.652 0.652
Tb2 0.123 0.123 0.123
Tb3 0.123 0.123 0.632
Tb4 0.123 0.632 0.123
Tb5 0.348 0.348 0.348
Tb6 0.348 0.348 0.955
Tb7 0.348 0.955 0.348
Tb8 0.368 0.877 0.877
Tb9 0.632 0.123 0.123
Tb10 0.652 0.045 0.652
Tb11 0.652 0.652 0.045
Tb12 0.652 0.652 0.652
Tb13 0.877 0.368 0.877
Tb14 0.877 0.877 0.368
Tb15 0.877 0.877 0.877
Tb16 0.955 0.348 0.348
Dy1 0.278 0.278 0.722
Dy2 0.278 0.722 0.278
Dy3 0.278 0.722 0.722
Dy4 0.722 0.278 0.278
Dy5 0.722 0.278 0.722
Dy6 0.722 0.722 0.278
Tm1 0.000 0.000 0.000
Tm2 0.000 0.000 0.500
Tm3 0.000 0.500 0.000
Tm4 0.000 0.500 0.500
Tm5 0.500 0.000 0.000
Tm6 0.500 0.000 0.500
Tm7 0.500 0.500 0.000
```

***

[5]
The following is a PBE-GGA calculation of crystalline Tb2Dy3Tm2 at its relaxed geometry, from the Alexandria database.

Values from the calculation:
The uncorrected energy comes out at -4.5537 eV per atom. The calculation puts the total magnetization at 0.00 μB per formula unit.

The structure in CIF format:
```
data_Tb2Dy3Tm2
_chemical_formula_sum 'Tb2 Dy3 Tm2'
_space_group_name_H-M_alt 'P 1'
_space_group_IT_number 1
_cell_length_a 6.099
_cell_length_b 6.099
_cell_length_c 7.880
_cell_angle_alpha 97.43
_cell_angle_beta 97.43
_cell_angle_gamma 48.23
loop_
_space_group_symop_operation_xyz
'x,y,z'
loop_
_atom_site_label
_atom_site_fract_x
_atom_site_fract_y
_atom_site_fract_z
Tb1 0.214 0.214 0.143
Tb2 0.786 0.786 0.857
Dy1 0.357 0.357 0.572
Dy2 0.500 0.500 0.000
Dy3 0.643 0.643 0.428
Tm1 0.072 0.072 0.713
Tm2 0.928 0.928 0.287
```

***

[6]
The following is a PBE-GGA calculation of crystalline Tb5Dy2Tm at its relaxed geometry, from the Alexandria database.

Values from the calculation:
The uncorrected energy comes out at -4.4520 eV per atom. The calculation puts the total magnetization at 0.00 μB per formula unit.

The structure in CIF format:
```
data_Tb5Dy2Tm
_chemical_formula_sum 'Tb10 Dy4 Tm2'
_space_group_name_H-M_alt 'P 1'
_space_group_IT_number 1
_cell_length_a 6.589
_cell_length_b 8.809
_cell_length_c 9.471
_cell_angle_alpha 88.18
_cell_angle_beta 85.00
_cell_angle_gamma 68.11
loop_
_space_group_symop_operation_xyz
'x,y,z'
loop_
_atom_site_label
_atom_site_fract_x
_atom_site_fract_y
_atom_site_fract_z
Tb1 0.051 0.245 0.111
Tb2 0.198 0.506 0.411
Tb3 0.295 0.507 0.089
Tb4 0.296 0.755 0.611
Tb5 0.344 0.314 0.750
Tb6 0.656 0.686 0.250
Tb7 0.704 0.245 0.389
Tb8 0.705 0.493 0.911
Tb9 0.802 0.494 0.589
Tb10 0.949 0.755 0.889
Dy1 0.270 0.107 0.423
Dy2 0.377 0.892 0.924
Dy3 0.623 0.108 0.076
Dy4 0.730 0.893 0.577
Tm1 0.062 0.875 0.250
Tm2 0.938 0.125 0.750
```